Record 1
Nd2PaSb3, optimized geometry, DFT PBE; volume = 757 Å³/cell; space group = Fddd, No. 70; raw formation energy = -0.94 eV per atom; total magnetization = 0.7 μB per formula unit
1.0
-3.6801 -5.2321 -4.3582
7.6421 -1.0828 -0.5806
-2.3794 -5.2433 12.8912
Sb Pa Nd
12 4 8
direct
0.6647 0.1561 0.8299 Sb
0.4908 0.9908 0.5000 Sb
0.0092 0.5092 0.5000 Sb
0.1652 0.6738 0.8299 Sb
0.3262 0.8348 0.1701 Sb
0.7592 0.7592 0.0000 Sb
0.2408 0.2408 0.0000 Sb
0.5853 0.5939 0.6701 Sb
0.8439 0.3353 0.1701 Sb
0.4061 0.4147 0.3299 Sb
0.9238 0.9152 0.3299 Sb
0.0848 0.0762 0.6701 Sb
0.3335 0.8335 0.6670 Pa
0.9165 0.9165 0.8330 Pa
0.1665 0.6665 0.3330 Pa
0.0835 0.0835 0.1670 Pa
0.7485 0.7485 0.4970 Nd
0.6680 0.1680 0.3360 Nd
0.2515 0.2515 0.5030 Nd
0.8320 0.3320 0.6640 Nd
0.4180 0.4180 0.8360 Nd
0.5015 0.0015 0.0030 Nd
0.5820 0.5820 0.1640 Nd
0.9985 0.4985 0.9970 Nd



Record 2
Er2ThZr, optimized geometry, DFT PBE; volume = 115 Å³/cell; offset from the most stable computed form = 165 meV/atom; space group = Fm-3m, No. 225; formation energy from the elements = 0.22 eV per atom; total magnetization = 0.0 μB per formula unit
1.0
5.4638 0.0000 0.0000
2.7319 4.7318 0.0000
2.7319 1.5773 4.4612
Er Zr Th
2 1 1
direct
0.2500 0.2500 0.2500 Er
0.7500 0.7500 0.7500 Er
0.5000 0.5000 0.5000 Zr
0.0000 0.0000 0.0000 Th



What VASP energy values result from the calculations? In sequence: -0.454, -0.445 Ry/atom.